(1)
Computed, not measured: a geometry-optimized La8Nd2Hg structure at the GGA-PBE level of DFT.

Cell and atoms, written as CIF:
```
data_La8Nd2Hg
_chemical_formula_sum 'La16 Nd4 Hg2'
_cell_length_a 18.367
_cell_length_b 6.864
_cell_length_c 6.225
_cell_angle_alpha 90.00
_cell_angle_beta 103.26
_cell_angle_gamma 90.00
_symmetry_space_group_name_H-M 'C 1 2/m 1'
_symmetry_Int_Tables_number 12
loop_
_symmetry_equiv_pos_as_xyz
'x,y,z'
'-x,-y,-z'
'-x,y,-z'
'x,-y,z'
'x+1/2,y+1/2,z'
'-x+1/2,-y+1/2,-z'
'-x+1/2,y+1/2,-z'
'x+1/2,-y+1/2,z'
loop_
_atom_site_label
_atom_site_type_symbol
_atom_site_fract_x
_atom_site_fract_y
_atom_site_fract_z
La1 La 0.033 0.000 0.280
La2 La 0.095 0.500 0.504
La3 La 0.153 0.242 0.985
Nd1 Nd 0.219 0.000 0.533
Hg1 Hg 0.000 0.500 0.000
```

As for the crystal system: monoclinic. Its formation energy is 0.008 eV/atom. The value obtained for the polymorph energy (0 for the lowest one) is 0.715 eV/f.u.

(2)
Computed, not measured: a geometry-optimized SmTh2Sc structure at the GGA-PBE level of DFT.

Cell and atoms, written as CIF:
```
data_SmTh2Sc
_chemical_formula_sum 'Sm2 Th4 Sc2'
_cell_length_a 3.557
_cell_length_b 3.558
_cell_length_c 19.459
_cell_angle_alpha 90.00
_cell_angle_beta 90.01
_cell_angle_gamma 90.00
_symmetry_space_group_name_H-M 'P 1 21/m 1'
_symmetry_Int_Tables_number 11
loop_
_symmetry_equiv_pos_as_xyz
'x,y,z'
'-x,-y,-z'
'-x,y+1/2,-z'
'x,-y+1/2,z'
loop_
_atom_site_label
_atom_site_type_symbol
_atom_site_fract_x
_atom_site_fract_y
_atom_site_fract_z
Sm1 Sm 0.249 0.250 0.073
Th1 Th 0.250 0.250 0.563
Th2 Th 0.251 0.250 0.801
Sc1 Sc 0.249 0.250 0.316
```

As for the crystal system: monoclinic. Its formation energy is 0.047 eV/atom. The value obtained for the polymorph energy (0 for the lowest one) is 0.000 eV/f.u.

(3)
Computed, not measured: a geometry-optimized NaSb3Ru structure at the GGA-PBE level of DFT.

Cell and atoms, written as CIF:
```
data_NaSb3Ru
_chemical_formula_sum 'Na1 Sb3 Ru1'
_cell_length_a 5.212
_cell_length_b 5.212
_cell_length_c 5.212
_cell_angle_alpha 90.00
_cell_angle_beta 90.00
_cell_angle_gamma 90.00
_symmetry_space_group_name_H-M 'P m -3 m'
_symmetry_Int_Tables_number 221
_symmetry_space_group_name_Hall '-P 4 2 3'
loop_
_atom_site_label
_atom_site_type_symbol
_atom_site_fract_x
_atom_site_fract_y
_atom_site_fract_z
Na1 Na 0.000 0.000 0.000
Sb1 Sb 0.000 0.500 0.500
Ru1 Ru 0.500 0.500 0.500
```

Its formation energy without anion corrections is 4.9 kcal/mol of atoms. As for the crystal system: cubic. The value obtained for the polymorph energy (0 for the lowest one) is 0.000 eV/f.u.

| no. | calculated density (g/cm3) |
| --- | --- |
| 1 | 7.0 |
| 2 | 8.9 |
| 3 | 5.7 |